Record 1
Density functional theory data (GGA-PBE) for a relaxed structure of MgInNiB.

Size of the total moment, μB per cell: 0.006
VASP energy, eV/atom: -3.600
Crystal system: cubic
Theoretical density, kg/m³: 5969

Cell lengths 6.146, 6.146, 6.146 Å; angles 90.00, 90.00, 90.00 degrees
Space group F-43m (No. 216)
Asymmetric unit:
Mg 0.000 0.000 0.000 x4
In 0.000 0.000 0.500 x4
Ni 0.250 0.250 0.250 x4
B 0.250 0.250 0.750 x4

=====

Record 2
Density functional theory data (GGA-PBE) for a relaxed structure of LuScAg.

Size of the total moment, μB per cell: 0.056
VASP energy, eV/atom: -4.496
Crystal system: cubic
Theoretical density, kg/m³: 6999
Energy relative to the elements, meV/atom: 62

Cell lengths 6.776, 6.776, 6.776 Å; angles 90.00, 90.00, 90.00 degrees
Space group F-43m (No. 216)
Asymmetric unit:
Lu 0.000 0.000 0.000 x4
Sc 0.000 0.000 0.500 x4
Ag 0.250 0.250 0.250 x4

=====

Record 3
Density functional theory data (GGA-PBE) for a relaxed structure of YNb2Tc.

Size of the total moment, μB per cell: 0.048
VASP energy, eV/atom: -9.042
Crystal system: cubic
Theoretical density, kg/m³: 8163
Energy relative to the elements, meV/atom: 211

Cell lengths 6.719, 6.719, 6.719 Å; angles 90.00, 90.00, 90.00 degrees
Space group F-43m (No. 216)
Asymmetric unit:
Y 0.000 0.000 0.000 x4
Nb 0.000 0.000 0.500 x4
Nb 0.250 0.250 0.250 x4
Tc 0.250 0.250 0.750 x4

=====

Record 4
Density functional theory data (GGA-PBE) for a relaxed structure of Zn2In2Sn3.

VASP energy, eV/atom: -2.701
Crystal system: trigonal
Theoretical density, kg/m³: 6387

Cell lengths 5.1568, 5.1568, 24.2687 Å; angles 90.00, 90.00, 120.00 degrees
Space group R3m (No. 160, hexagonal axes)
Asymmetric unit:
Zn 0.0000 0.0000 0.0000 x3
Zn 0.0000 0.0000 0.4893 x3
In 0.0000 0.0000 0.2327 x3
In 0.0000 0.0000 0.7491 x3
Sn 0.0000 0.0000 0.3676 x3
Sn 0.0000 0.0000 0.6198 x3
Sn 0.0000 0.0000 0.8716 x3

=====

Record 5
Density functional theory data (GGA-PBE) for a relaxed structure of TaSnPO5.

Size of the total moment, μB per cell: 0.003
VASP energy, eV/atom: -7.685
Crystal system: triclinic
Theoretical density, kg/m³: 6502

Cell lengths 5.770, 6.554, 6.645 Å; angles 113.54, 109.22, 95.63 degrees
Space group P-1 (No. 2)
Asymmetric unit:
Ta 0.132 0.119 0.220 x2
Sn 0.415 0.707 0.941 x2
P 0.188 0.687 0.394 x2
O 0.035 0.272 0.530 x2
O 0.118 0.430 0.202 x2
O 0.235 0.845 0.283 x2
O 0.259 0.002 0.943 x2
O 0.440 0.732 0.608 x2

=====

Record 6
Density functional theory data (GGA-PBE) for a relaxed structure of MgFeBiAu.

Size of the total moment, μB per cell: 11.140
VASP energy, eV/atom: -4.115
Crystal system: cubic
Theoretical density, kg/m³: 10369

Cell lengths 6.778, 6.778, 6.778 Å; angles 90.00, 90.00, 90.00 degrees
Space group F-43m (No. 216)
Asymmetric unit:
Mg 0.000 0.000 0.000 x4
Fe 0.000 0.000 0.500 x4
Bi 0.250 0.250 0.250 x4
Au 0.250 0.250 0.750 x4

=====

Record 7
Density functional theory data (GGA-PBE) for a relaxed structure of CsAlTc.

Size of the total moment, μB per cell: 10.893
VASP energy, eV/atom: -3.291
Crystal system: cubic
Theoretical density, kg/m³: 4389

Cell lengths 7.308, 7.308, 7.308 Å; angles 90.00, 90.00, 90.00 degrees
Space group F-43m (No. 216)
Asymmetric unit:
Cs 0.000 0.000 0.000 x4
Al 0.250 0.250 0.250 x4
Tc 0.000 0.000 0.500 x4

=====

Record 8
Density functional theory data (GGA-PBE) for a relaxed structure of DyMgTlAg.

Size of the total moment, μB per cell: 0.003
VASP energy, eV/atom: -3.139
Crystal system: cubic
Theoretical density, kg/m³: 9041

Cell lengths 7.157, 7.157, 7.157 Å; angles 90.00, 90.00, 90.00 degrees
Space group F-43m (No. 216)
Asymmetric unit:
Dy 0.000 0.000 0.000 x4
Mg 0.000 0.000 0.500 x4
Tl 0.250 0.250 0.250 x4
Ag 0.250 0.250 0.750 x4

=====

Record 9
Density functional theory data (GGA-PBE) for a relaxed structure of LaDyPO.

Size of the total moment, μB per cell: 0.033
VASP energy, eV/atom: -7.023
Crystal system: orthorhombic
Theoretical density, kg/m³: 5843

Cell lengths 4.356, 7.485, 6.073 Å; angles 90.00, 90.00, 90.00 degrees
Space group Pmc2_1 (No. 26)
Asymmetric unit:
La 0.000 0.201 0.000 x2
Dy 0.500 0.381 0.568 x2
P 0.000 0.181 0.495 x2
O 0.500 0.342 0.931 x2

=====

Record 10
Density functional theory data (GGA-PBE) for a relaxed structure of TlReHg3Te4.

Size of the total moment, μB per cell: 3.879
VASP energy, eV/atom: -2.797
Crystal system: cubic
Theoretical density, kg/m³: 6920

Cell lengths 7.118, 7.118, 7.118 Å; angles 90.00, 90.00, 90.00 degrees
Space group P-43m (No. 215)
Asymmetric unit:
Tl 0.000 0.000 0.000 x1
Re 0.500 0.500 0.500 x1
Hg 0.000 0.500 0.500 x3
Te 0.281 0.281 0.281 x4

=====

Record 11
Density functional theory data (GGA-PBE) for a relaxed structure of BaPrCuSeS2.

Size of the total moment, μB per cell: 0.016
VASP energy, eV/atom: -5.318
Crystal system: orthorhombic
Theoretical density, kg/m³: 5111

Cell lengths 4.125, 14.032, 10.886 Å; angles 90.00, 90.00, 90.00 degrees
Space group Cmcm (No. 63)
Asymmetric unit:
Ba 0.000 0.243 0.250 x4
Pr 0.000 0.000 0.000 x4
Cu 0.000 0.469 0.750 x4
Se 0.000 0.077 0.750 x4
S 0.000 0.370 0.576 x8

=====

Record 12
Density functional theory data (GGA-PBE) for a relaxed structure of Re3S7Br7.

Size of the total moment, μB per cell: 0.000
VASP energy, eV/atom: -4.913
Crystal system: trigonal
Theoretical density, kg/m³: 4614

Cell lengths 9.5647, 9.5647, 24.3919 Å; angles 90.00, 90.00, 120.00 degrees
Space group P31c (No. 159)
Asymmetric unit:
Re 0.0303 0.8533 0.0000 x6
Re 0.1548 0.5223 0.2425 x6
S 0.0000 0.0000 0.0720 x2
S 0.0360 0.2072 0.4323 x6
S 0.0550 0.3197 0.5071 x6
S 0.0733 0.7285 0.2352 x6
S 0.1651 0.7070 0.3100 x6
S 0.3333 0.6667 0.1700 x2
Br 0.0000 0.0000 0.3441 x2
Br 0.0373 0.3982 0.6652 x6
Br 0.0449 0.6887 0.0800 x6
Br 0.0882 0.6584 0.9454 x6
Br 0.0953 0.4253 0.7998 x6
Br 0.3333 0.6667 0.3978 x2

=====

Record 13
Density functional theory data (GGA-PBE) for a relaxed structure of Lu2InSnPt4.

Size of the total moment, μB per cell: 0.012
VASP energy, eV/atom: -5.992
Crystal system: trigonal
Theoretical density, kg/m³: 14202

Cell lengths 4.5317, 4.5317, 8.9658 Å; angles 90.00, 90.00, 120.00 degrees
Space group P-3m1 (No. 164)
Asymmetric unit:
Lu 0.3333 0.6667 0.2518 x2
In 0.0000 0.0000 0.5000 x1
Sn 0.0000 0.0000 0.0000 x1
Pt 0.3333 0.6667 0.5921 x2
Pt 0.3333 0.6667 0.9080 x2

=====

Record 14
Density functional theory data (GGA-PBE) for a relaxed structure of DyEr2Tm4Ni2Te2.

Size of the total moment, μB per cell: 0.016
VASP energy, eV/atom: -5.144
Crystal system: orthorhombic
Theoretical density, kg/m³: 9188

Cell lengths 3.824, 15.419, 9.475 Å; angles 90.00, 90.00, 90.00 degrees
Space group Imm2 (No. 44)
Asymmetric unit:
Dy 0.000 0.000 0.000 x2
Er 0.000 0.353 0.730 x4
Tm 0.000 0.134 0.583 x4
Tm 0.000 0.315 0.378 x4
Ni 0.000 0.238 0.072 x4
Te 0.000 0.000 0.338 x2
Te 0.000 0.500 0.234 x2

=====

Record 15
Density functional theory data (GGA-PBE) for a relaxed structure of Pd3N.

VASP energy, eV/atom: -4.853
Crystal system: cubic
Theoretical density, kg/m³: 10124

Cell lengths 6.024, 6.024, 6.024 Å; angles 90.00, 90.00, 90.00 degrees
Space group Fm-3m (No. 225)
Asymmetric unit:
Pd 0.000 0.000 0.000 x4
Pd 0.250 0.250 0.250 x8
N 0.000 0.000 0.500 x4

=====

Record 16
Density functional theory data (GGA-PBE) for a relaxed structure of ScFeCuW.

Size of the total moment, μB per cell: 0.584
VASP energy, eV/atom: -7.685
Crystal system: cubic
Theoretical density, kg/m³: 9903
Energy relative to the elements, meV/atom: 144

Cell lengths 6.158, 6.158, 6.158 Å; angles 90.00, 90.00, 90.00 degrees
Space group F-43m (No. 216)
Asymmetric unit:
Sc 0.000 0.000 0.000 x4
Fe 0.250 0.250 0.750 x4
Cu 0.250 0.250 0.250 x4
W 0.000 0.000 0.500 x4

=====

Record 17
Density functional theory data (GGA-PBE) for a relaxed structure of DyHoSc2Sb2.

Size of the total moment, μB per cell: 1.958
VASP energy, eV/atom: -5.838
Crystal system: tetragonal
Theoretical density, kg/m³: 7188

Cell lengths 4.335, 4.335, 16.251 Å; angles 90.00, 90.00, 90.00 degrees
Space group I4mm (No. 107)
Asymmetric unit:
Dy 0.000 0.000 0.000 x2
Ho 0.000 0.000 0.352 x2
Sc 0.000 0.500 0.176 x4
Sb 0.000 0.000 0.544 x2
Sb 0.000 0.000 0.808 x2

=====

Record 18
Density functional theory data (GGA-PBE) for a relaxed structure of NbCoSbAu.

Size of the total moment, μB per cell: 0.035
VASP energy, eV/atom: -5.839
Crystal system: cubic
Theoretical density, kg/m³: 11183

Cell lengths 6.538, 6.538, 6.538 Å; angles 90.00, 90.00, 90.00 degrees
Space group F-43m (No. 216)
Asymmetric unit:
Nb 0.000 0.000 0.000 x4
Co 0.250 0.250 0.750 x4
Sb 0.000 0.000 0.500 x4
Au 0.250 0.250 0.250 x4

=====

Record 19
Density functional theory data (GGA-PBE) for a relaxed structure of K5Pt3O3.

Size of the total moment, μB per cell: 1.018
VASP energy, eV/atom: -4.205
Crystal system: hexagonal
Theoretical density, kg/m³: 5352

Cell lengths 8.6757, 8.6757, 3.9446 Å; angles 90.00, 90.00, 120.00 degrees
Space group P-62m (No. 189)
Asymmetric unit:
K 0.0000 0.7358 0.0000 x3
K 0.3333 0.6667 0.0000 x2
Pt 0.0000 0.3622 0.5000 x3
O 0.0000 0.3644 0.0000 x3

=====

Record 20
Density functional theory data (GGA-PBE) for a relaxed structure of AcNiHg.

Size of the total moment, μB per cell: 0.013
VASP energy, eV/atom: -3.059
Crystal system: cubic
Theoretical density, kg/m³: 8548
Energy relative to the elements, meV/atom: 265

Cell lengths 7.230, 7.230, 7.230 Å; angles 90.00, 90.00, 90.00 degrees
Space group F-43m (No. 216)
Asymmetric unit:
Ac 0.000 0.000 0.000 x4
Ni 0.250 0.250 0.250 x4
Hg 0.250 0.250 0.750 x4